No. 1
Entry from Alexandria via LeMat-Bulk: a relaxed structure of HfTiFe2 (GGA-PBE). Values from VASP.

Geometry as Quantum ESPRESSO input:
```
&SYSTEM
  ibrav = 0, nat = 4, ntyp = 3
/
ATOMIC_SPECIES
Hf 178.49 Hf.upf
Ti 47.87 Ti.upf
Fe 55.84 Fe.upf
ATOMIC_POSITIONS angstrom
Hf -4.358 -0.518 2.285
Ti 0.000 0.000 0.000
Fe -2.103 -0.250 1.103
Fe -6.613 -0.786 3.467
CELL_PARAMETERS angstrom
3.127 0.194 -4.705
-4.608 -3.031 1.239
-4.108 1.996 3.332
```

Output
Formation energy from the elements ... 0.581 eV/atom
Electronic total energy ... -32.45 eV per cell


No. 2
Entry from Alexandria via LeMat-Bulk: a relaxed structure of CaMgTeN2 (GGA-PBE). Values from VASP.

Geometry as Quantum ESPRESSO input:
```
&SYSTEM
  ibrav = 0, nat = 5, ntyp = 4
/
ATOMIC_SPECIES
Ca 40.08 Ca.upf
Te 127.60 Te.upf
Mg 24.30 Mg.upf
N 14.01 N.upf
ATOMIC_POSITIONS angstrom
Ca 0.000 0.000 0.000
Te 2.601 1.510 1.003
Mg 2.613 -0.277 3.663
N 0.922 -1.983 0.594
N -0.910 0.196 2.066
CELL_PARAMETERS angstrom
-1.821 0.391 4.132
1.844 -3.966 1.188
5.203 3.020 2.006
```

Output
Electronic total energy ... -18.71 eV per cell
E_form (uncorrected) ... 4.7 eV/f.u.


No. 3
Entry from Alexandria via LeMat-Bulk: a relaxed structure of SmErI (GGA-PBE). Values from VASP.

Geometry as Quantum ESPRESSO input:
```
&SYSTEM
  ibrav = 0, nat = 3, ntyp = 3
/
ATOMIC_SPECIES
I 126.90 I.upf
Sm 150.36 Sm.upf
Er 167.26 Er.upf
ATOMIC_POSITIONS angstrom
I 0.000 0.000 4.612
Sm 0.000 0.000 0.005
Er 1.850 1.850 2.368
CELL_PARAMETERS angstrom
3.699 0.000 0.000
0.000 3.699 0.000
-1.850 -1.850 6.984
```

Output
Electronic total energy ... -12.08 eV per cell
E_form (uncorrected) ... -1.2 eV/f.u.